Entry 1:
This record from Alexandria describes a relaxed structure of Na2YMoPO8. The functional is PBE with a Hubbard U.

Cell and atoms, written as POSCAR:
```
Na2YMoPO8
1.0
-3.4909 6.1200 9.0866
3.4909 -6.1200 9.0866
3.4909 6.1200 -9.0866
Na Y Mo P O
8 4 4 4 32
Direct
0.1045 0.6607 0.4567 Na
0.2040 0.1607 0.0561 Na
0.2960 0.3521 0.9567 Na
0.3955 0.8521 0.5561 Na
0.6045 0.1479 0.4439 Na
0.7040 0.6479 0.0433 Na
0.7960 0.8393 0.9439 Na
0.8955 0.3393 0.5433 Na
0.1780 0.7500 0.9280 Y
0.3220 0.2500 0.5720 Y
0.6780 0.7500 0.4280 Y
0.8220 0.2500 0.0720 Y
0.0715 0.8215 0.2500 Mo
0.4285 0.6785 0.7500 Mo
0.5715 0.3215 0.2500 Mo
0.9285 0.1785 0.7500 Mo
0.0691 0.2500 0.3191 P
0.4309 0.7500 0.1809 P
0.5691 0.2500 0.8191 P
0.9309 0.7500 0.6809 P
0.0617 0.3292 0.2545 O
0.0748 0.8292 0.7675 O
0.1023 0.1926 0.8310 O
0.1045 0.6700 0.0173 O
0.1383 0.7287 0.3310 O
0.1407 0.4167 0.5723 O
0.1527 0.0872 0.4827 O
0.1556 0.0833 0.2239 O
0.3444 0.5684 0.9277 O
0.3473 0.8300 0.9345 O
0.3593 0.9316 0.2761 O
0.3617 0.6926 0.5903 O
0.3955 0.4128 0.5655 O
0.3977 0.2287 0.0903 O
0.4252 0.1928 0.7545 O
0.4383 0.6928 0.2675 O
0.5617 0.3072 0.7325 O
0.5748 0.8072 0.2455 O
0.6023 0.7713 0.9097 O
0.6045 0.5872 0.4345 O
0.6383 0.3074 0.4097 O
0.6407 0.0684 0.7239 O
0.6527 0.1700 0.0655 O
0.6556 0.4316 0.0723 O
0.8444 0.9167 0.7761 O
0.8473 0.9128 0.5173 O
0.8593 0.5833 0.4277 O
0.8617 0.2713 0.6690 O
0.8955 0.3300 0.9827 O
0.8977 0.8074 0.1690 O
0.9252 0.1708 0.2325 O
0.9383 0.6708 0.7455 O
```

Results
Symmetry: Ibca (73)
Crystal system: orthorhombic
DOS(E_F) in states/eV per cell: 0.000
Final energy in eV/atom: -7.091
Mass density in Mg/m³: 3.33

Entry 2:
This record from Alexandria describes a relaxed structure of Na2PaMoO6. The functional is PBE with a Hubbard U.

Cell and atoms, written as POSCAR:
```
Na2PaMoO6
1.0
4.9452 -2.9362 0.0000
4.9452 2.9362 0.0000
-3.2914 0.0000 4.6742
Na Pa Mo O
2 1 1 6
Direct
0.2477 0.2477 0.2244 Na
0.7523 0.7523 0.7756 Na
0.5000 0.5000 0.0000 Pa
0.0000 0.0000 0.5000 Mo
0.1911 0.7027 0.2026 O
0.2282 0.2282 0.6282 O
0.2973 0.8089 0.7974 O
0.7027 0.1911 0.2026 O
0.7718 0.7718 0.3718 O
0.8089 0.2973 0.7974 O
```

Results
Symmetry: C2/m (12)
Crystal system: monoclinic
Final energy in eV/atom: -7.306
Mass density in Mg/m³: 5.74

Entry 3:
This record from Alexandria describes a relaxed structure of NaPaMoO6. The functional is PBE with a Hubbard U.

Cell and atoms, written as POSCAR:
```
NaPaMoO6
1.0
5.6092 0.0000 0.0000
-2.8046 4.8577 0.0000
0.0000 0.0000 10.0393
Na Pa Mo O
2 2 2 12
Direct
0.0000 0.0000 0.0000 Na
0.0000 0.0000 0.5000 Na
0.3333 0.6667 0.2500 Pa
0.6667 0.3333 0.7500 Pa
0.3333 0.6667 0.7500 Mo
0.6667 0.3333 0.2500 Mo
0.0295 0.3890 0.6436 O
0.0295 0.6405 0.8564 O
0.3595 0.3890 0.8564 O
0.3595 0.9705 0.6436 O
0.3890 0.0295 0.1436 O
0.3890 0.3595 0.3564 O
0.6110 0.6405 0.6436 O
0.6110 0.9705 0.8564 O
0.6405 0.0295 0.3564 O
0.6405 0.6110 0.1436 O
0.9705 0.3595 0.1436 O
0.9705 0.6110 0.3564 O
```

Results
Symmetry: P-31c (163)
Crystal system: trigonal
DOS(E_F) in states/eV per cell: 0.000
Final energy in eV/atom: -7.689
Mass density in Mg/m³: 5.41

Entry 4:
This record from Alexandria describes a relaxed structure of Na2MoPbO6. The functional is PBE with a Hubbard U.

Cell and atoms, written as POSCAR:
```
Na2MoPbO6
1.0
2.8247 1.6308 4.6808
-2.8247 1.6308 4.6808
0.0000 -3.2616 4.6808
Na Mo Pb O
2 1 1 6
Direct
0.0000 0.0000 0.0000 Na
0.4951 0.4951 0.4951 Na
0.2316 0.2316 0.2316 Mo
0.7343 0.7343 0.7343 Pb
0.0871 0.9013 0.4491 O
0.3752 0.5485 0.9891 O
0.4491 0.0871 0.9013 O
0.5485 0.9891 0.3752 O
0.9013 0.4491 0.0871 O
0.9891 0.3752 0.5485 O
```

Results
Symmetry: R3 (146)
Crystal system: trigonal
Final energy in eV/atom: -5.738
Mass density in Mg/m³: 5.71

Entry 5:
This record from Alexandria describes a relaxed structure of NaMoPb2O6. The functional is PBE with a Hubbard U.

Cell and atoms, written as POSCAR:
```
NaMoPb2O6
1.0
5.7145 0.0000 0.0000
0.0000 6.0000 0.0000
-5.5761 0.0000 8.3675
Na Mo Pb O
2 2 4 12
Direct
0.0000 0.0000 0.0000 Na
0.0000 0.5000 0.5000 Na
0.5000 0.0000 0.5000 Mo
0.5000 0.5000 0.0000 Mo
0.2242 0.0467 0.7378 Pb
0.2242 0.4533 0.2378 Pb
0.7758 0.5467 0.7622 Pb
0.7758 0.9533 0.2622 Pb
0.1740 0.1711 0.4562 O
0.1740 0.3289 0.9562 O
0.2635 0.7334 0.4230 O
0.2635 0.7666 0.9230 O
0.3996 0.0647 0.2815 O
0.3996 0.4353 0.7815 O
0.6004 0.5647 0.2185 O
0.6004 0.9353 0.7185 O
0.7365 0.2334 0.0770 O
0.7365 0.2666 0.5770 O
0.8260 0.6711 0.0438 O
0.8260 0.8289 0.5438 O
```

Results
Symmetry: P2_1/c (14)
Crystal system: monoclinic
DOS(E_F) in states/eV per cell: 9.127
Final energy in eV/atom: -5.918
Mass density in Mg/m³: 7.29

Entry 6:
This record from Alexandria describes a relaxed structure of NaMoPbO5. The functional is PBE with a Hubbard U.

Cell and atoms, written as POSCAR:
```
NaMoPbO5
1.0
4.3464 -4.7673 0.0000
4.3464 4.7673 0.0000
-3.6178 0.0000 7.2869
Na Mo Pb O
2 2 2 10
Direct
0.1948 0.8052 0.7500 Na
0.8052 0.1948 0.2500 Na
0.1381 0.8619 0.2500 Mo
0.8619 0.1381 0.7500 Mo
0.5000 0.5000 0.0000 Pb
0.5000 0.5000 0.5000 Pb
0.1588 0.2006 0.8510 O
0.2006 0.1588 0.3510 O
0.2281 0.7393 0.4258 O
0.2607 0.7719 0.0742 O
0.4355 0.5645 0.7500 O
0.5645 0.4355 0.2500 O
0.7393 0.2281 0.9258 O
0.7719 0.2607 0.5742 O
0.7994 0.8412 0.6490 O
0.8412 0.7994 0.1490 O
```

Results
Symmetry: C2/c (15)
Crystal system: monoclinic
Final energy in eV/atom: -6.088
Mass density in Mg/m³: 4.47